Entry 1:
{"formula": "Ga2Pt2O5", "functional": "PBE", "state": "relaxed", "energy_ev_per_atom": -5.32, "space_group": "P4/mmm, No. 123", "crystal_system": "tetragonal", "cell": [[3.6011, 0.0000, 0.0000], [0.0000, 3.6011, 0.0000], [0.0000, 0.0000, 7.9261]], "species": ["Ga", "Ga", "Pt", "Pt", "O", "O", "O", "O", "O"], "frac_coords": [[0.0000, 0.0000, 0.2380], [0.0000, 0.0000, 0.7620], [0.5000, 0.5000, 0.0000], [0.5000, 0.5000, 0.5000], [0.0000, 0.0000, 0.0000], [0.0000, 0.5000, 0.3407], [0.0000, 0.5000, 0.6593], [0.5000, 0.0000, 0.3407], [0.5000, 0.0000, 0.6593]]}

=====

Entry 2:
{"formula": "BaBiAu", "functional": "PBE", "state": "relaxed", "energy_ev_per_atom": -3.73, "space_group": "P-62m, No. 189", "crystal_system": "hexagonal", "cell": [[8.2646, 0.0000, 0.0000], [-4.1323, 7.1573, 0.0000], [0.0000, 0.0000, 4.8187]], "species": ["Ba", "Ba", "Ba", "Bi", "Bi", "Bi", "Au", "Au", "Au"], "frac_coords": [[0.0000, 0.6047, 0.0000], [0.3953, 0.3953, 0.0000], [0.6047, 0.0000, 0.0000], [0.0000, 0.2670, 0.5000], [0.2670, 0.0000, 0.5000], [0.7330, 0.7330, 0.5000], [0.0000, 0.0000, 0.0000], [0.3333, 0.6667, 0.5000], [0.6667, 0.3333, 0.5000]]}

=====

Entry 3:
{"formula": "ZnCdGeS3", "functional": "PBE", "state": "relaxed", "energy_ev_per_atom": -3.52, "space_group": "Cmcm, No. 63", "crystal_system": "orthorhombic", "cell": [[1.8696, -6.2612, 0.0000], [1.8696, 6.2612, 0.0000], [0.0000, 0.0000, 10.4315]], "species": ["Zn", "Zn", "Cd", "Cd", "Ge", "Ge", "S", "S", "S", "S", "S", "S"], "frac_coords": [[0.0173, 0.9827, 0.7500], [0.9827, 0.0173, 0.2500], [0.5000, 0.5000, 0.0000], [0.5000, 0.5000, 0.5000], [0.2715, 0.7285, 0.2500], [0.7285, 0.2715, 0.7500], [0.1413, 0.8587, 0.5820], [0.1413, 0.8587, 0.9180], [0.4029, 0.5971, 0.7500], [0.5971, 0.4029, 0.2500], [0.8587, 0.1413, 0.0820], [0.8587, 0.1413, 0.4180]]}

=====

Entry 4:
{"formula": "La2GaPd", "functional": "PBE", "state": "relaxed", "energy_ev_per_atom": -5.19, "space_group": "Amm2, No. 38", "crystal_system": "orthorhombic", "cell": [[4.5408, 0.0000, 0.0000], [0.0000, 2.0392, 5.8061], [0.0000, -2.0392, 5.8061]], "species": ["La", "La", "Ga", "Pd"], "frac_coords": [[0.0000, 0.0000, 0.0000], [0.5000, 0.2787, 0.2787], [0.5000, 0.5682, 0.5682], [0.0000, 0.7112, 0.7112]]}

=====

Entry 5:
{"formula": "NbCo2", "functional": "PBE", "state": "relaxed", "energy_ev_per_atom": -8.25, "space_group": "Fd-3m, No. 227", "crystal_system": "cubic", "formation_energy_ev_per_atom": -0.144, "cell": [[0.0000, 3.3565, 3.3565], [3.3565, 0.0000, 3.3565], [3.3565, 3.3565, 0.0000]], "species": ["Nb", "Nb", "Co", "Co", "Co", "Co"], "frac_coords": [[0.1250, 0.1250, 0.1250], [0.8750, 0.8750, 0.8750], [0.0000, 0.5000, 0.5000], [0.5000, 0.0000, 0.5000], [0.5000, 0.5000, 0.0000], [0.5000, 0.5000, 0.5000]]}

=====

Entry 6:
{"formula": "K2Te2Au", "functional": "PBE", "state": "relaxed", "energy_ev_per_atom": -3.02, "space_group": "C2/m, No. 12", "crystal_system": "monoclinic", "cell": [[6.3878, -2.1042, 0.0000], [6.3878, 2.1042, 0.0000], [-1.5127, 0.0000, 6.9496]], "species": ["K", "K", "Te", "Te", "Au"], "frac_coords": [[0.1566, 0.1566, 0.2290], [0.8434, 0.8434, 0.7710], [0.1128, 0.1128, 0.7171], [0.8872, 0.8872, 0.2829], [0.5000, 0.5000, 0.5000]]}

=====

Entry 7:
{"formula": "LiZrTcTe", "functional": "PBE", "state": "relaxed", "energy_ev_per_atom": -6.02, "space_group": "F-43m, No. 216", "crystal_system": "cubic", "cell": [[0.0000, 3.3036, 3.3036], [3.3036, 0.0000, 3.3036], [3.3036, 3.3036, 0.0000]], "species": ["Li", "Zr", "Tc", "Te"], "frac_coords": [[0.0000, 0.0000, 0.0000], [0.5000, 0.5000, 0.5000], [0.7500, 0.7500, 0.7500], [0.2500, 0.2500, 0.2500]]}

=====

Entry 8:
{"formula": "LiGeOs", "functional": "PBE", "state": "relaxed", "energy_ev_per_atom": -5.78, "space_group": "F-43m, No. 216", "crystal_system": "cubic", "cell": [[0.0000, 2.8595, 2.8595], [2.8595, 0.0000, 2.8595], [2.8595, 2.8595, 0.0000]], "species": ["Li", "Ge", "Os"], "frac_coords": [[0.0000, 0.0000, 0.0000], [0.2500, 0.2500, 0.2500], [0.5000, 0.5000, 0.5000]]}

=====

Entry 9:
{"formula": "AcDyBe", "functional": "PBE", "state": "relaxed", "energy_ev_per_atom": -3.79, "space_group": "F-43m, No. 216", "crystal_system": "cubic", "cell": [[0.0000, 3.5549, 3.5549], [3.5549, 0.0000, 3.5549], [3.5549, 3.5549, 0.0000]], "species": ["Ac", "Dy", "Be"], "frac_coords": [[0.0000, 0.0000, 0.0000], [0.5000, 0.5000, 0.5000], [0.2500, 0.2500, 0.2500]]}

=====

Entry 10:
{"formula": "ZrTaSi", "functional": "PBE", "state": "relaxed", "energy_ev_per_atom": -9.34, "space_group": "Pnma, No. 62", "crystal_system": "orthorhombic", "cell": [[7.0071, 0.0000, 0.0000], [0.0000, 3.6483, 0.0000], [0.0000, 0.0000, 8.4851]], "species": ["Zr", "Zr", "Zr", "Zr", "Ta", "Ta", "Ta", "Ta", "Si", "Si", "Si", "Si"], "frac_coords": [[0.0425, 0.2500, 0.1675], [0.4575, 0.7500, 0.6675], [0.5425, 0.2500, 0.3325], [0.9575, 0.7500, 0.8325], [0.1327, 0.2500, 0.5599], [0.3673, 0.7500, 0.0599], [0.6327, 0.2500, 0.9401], [0.8673, 0.7500, 0.4401], [0.2452, 0.7500, 0.3596], [0.2548, 0.2500, 0.8596], [0.7452, 0.7500, 0.1404], [0.7548, 0.2500, 0.6404]]}

=====

Entry 11:
{"formula": "RbTbCdF7", "functional": "PBE", "state": "relaxed", "energy_ev_per_atom": -4.76, "space_group": "Cmcm, No. 63", "crystal_system": "orthorhombic", "cell": [[3.3825, -5.4448, 0.0000], [3.3825, 5.4448, 0.0000], [0.0000, 0.0000, 8.4439]], "species": ["Rb", "Rb", "Tb", "Tb", "Cd", "Cd", "F", "F", "F", "F", "F", "F", "F", "F", "F", "F", "F", "F", "F", "F"], "frac_coords": [[0.0000, 0.0000, 0.0000], [0.0000, 0.0000, 0.5000], [0.3045, 0.6955, 0.7500], [0.6955, 0.3045, 0.2500], [0.2968, 0.7032, 0.2500], [0.7032, 0.2968, 0.7500], [0.0508, 0.3217, 0.2500], [0.0641, 0.3208, 0.7500], [0.2785, 0.7215, 0.0011], [0.2785, 0.7215, 0.4989], [0.3208, 0.0641, 0.2500], [0.3217, 0.0508, 0.7500], [0.4974, 0.5026, 0.2500], [0.5026, 0.4974, 0.7500], [0.6783, 0.9492, 0.2500], [0.6792, 0.9359, 0.7500], [0.7215, 0.2785, 0.5011], [0.7215, 0.2785, 0.9989], [0.9359, 0.6792, 0.2500], [0.9492, 0.6783, 0.7500]]}

=====

Entry 12:
{"formula": "NpZnTe", "functional": "PBE", "state": "relaxed", "energy_ev_per_atom": -5.64, "space_group": "F-43m, No. 216", "crystal_system": "cubic", "cell": [[0.0000, 3.3831, 3.3831], [3.3831, 0.0000, 3.3831], [3.3831, 3.3831, 0.0000]], "species": ["Np", "Zn", "Te"], "frac_coords": [[0.0000, 0.0000, 0.0000], [0.2500, 0.2500, 0.2500], [0.5000, 0.5000, 0.5000]]}

=====

Entry 13:
{"formula": "Nb2Bi", "functional": "PBE", "state": "relaxed", "energy_ev_per_atom": -7.75, "space_group": "Fd-3m, No. 227", "crystal_system": "cubic", "cell": [[0.0000, 4.0036, 4.0036], [4.0036, 0.0000, 4.0036], [4.0036, 4.0036, 0.0000]], "species": ["Nb", "Nb", "Nb", "Nb", "Bi", "Bi"], "frac_coords": [[0.0000, 0.0000, 0.0000], [0.0000, 0.0000, 0.5000], [0.0000, 0.5000, 0.0000], [0.5000, 0.0000, 0.0000], [0.3750, 0.3750, 0.3750], [0.6250, 0.6250, 0.6250]]}